Density functional theory data (GGA-PBE) for a relaxed structure of Th3Cd2.

a b c (Å): 3.445 3.445 24.191
angles (deg): 90.00 90.00 90.00
Element x y z (fractional)
Th 0.000 0.000 0.000
Th 0.000 0.000 0.194
Th 0.000 0.000 0.390
Th 0.000 0.000 0.610
Th 0.000 0.000 0.806
Th 0.500 0.500 0.500
Cd 0.500 0.500 0.097
Cd 0.500 0.500 0.291
Cd 0.500 0.500 0.709
Cd 0.500 0.500 0.903

Output
Formation energy from the elements ... -0.057 eV/atom
Total moment ... 0.0 μB per formula unit



Density functional theory data (GGA-PBE) for a relaxed structure of ThCd3.

a b c (Å): 6.824 6.824 5.001
angles (deg): 90.00 90.00 119.79
Element x y z (fractional)
Th 0.165 0.835 0.750
Th 0.835 0.165 0.250
Cd 0.187 0.345 0.750
Cd 0.341 0.659 0.250
Cd 0.345 0.187 0.250
Cd 0.655 0.813 0.750
Cd 0.659 0.341 0.750
Cd 0.813 0.655 0.250

Output
Formation energy from the elements ... -0.152 eV/atom
Total moment ... 0.0 μB per formula unit



Density functional theory data (GGA-PBE) for a relaxed structure of Th3Cd.

a b c (Å): 6.656 6.656 6.656
angles (deg): 149.09 63.50 126.03
Element x y z (fractional)
Th 0.000 0.000 0.000
Th 0.402 0.636 0.766
Th 0.870 0.636 0.234
Cd 0.471 0.971 0.500

Output
Formation energy from the elements ... -0.002 eV/atom
Total moment ... 0.0 μB per formula unit



Density functional theory data (GGA-PBE) for a relaxed structure of ThCd4.

a b c (Å): 10.339 10.339 5.602
angles (deg): 90.00 90.00 90.00
Element x y z (fractional)
Th 0.113 0.387 0.000
Th 0.387 0.887 0.000
Th 0.613 0.113 0.000
Th 0.887 0.613 0.000
Cd 0.000 0.000 0.228
Cd 0.000 0.000 0.772
Cd 0.102 0.602 0.500
Cd 0.114 0.199 0.500
Cd 0.199 0.886 0.500
Cd 0.301 0.386 0.500
Cd 0.386 0.699 0.500
Cd 0.398 0.102 0.500
Cd 0.500 0.500 0.228
Cd 0.500 0.500 0.772
Cd 0.602 0.898 0.500
Cd 0.614 0.301 0.500
Cd 0.699 0.614 0.500
Cd 0.801 0.114 0.500
Cd 0.886 0.801 0.500
Cd 0.898 0.398 0.500

Output
Formation energy from the elements ... 0.324 eV/atom
Total moment ... 0.6 μB per formula unit